No. 1
## Hf2TaPt (PBE)

Data for Hf2TaPt after structural relaxation.

abc: 3.4582 4.6634 4.6634
angles: 90.00 90.00 90.00
Closest atoms and distances in Å follow each position.
Element x y z (fractional)
Hf1 0.0000 0.0000 0.5000  4 Ta 2.90, 4 Pt 2.90
Hf2 0.0000 0.5000 0.0000  4 Ta 2.90, 4 Pt 2.90
Pt1 0.5000 0.5000 0.5000  8 Hf 2.90
Ta1 0.5000 0.0000 0.0000  8 Hf 2.90

D(E_F), states/eV/f.u.: 4.296
Energy of formation, meV per atom: -462
M_tot, μB/f.u.: 0.00
SG: P4/mmm

No. 2
## Tc2HgRh (PBE)

Data for Tc2HgRh after structural relaxation.

abc: 2.8052 3.9049 5.8264
angles: 90.00 90.00 90.00
Closest atoms and distances in Å follow each position.
Element x y z (fractional)
Hg1 0.0000 0.0000 0.5050  2 Hg 2.81, 4 Rh 2.85, 6 Tc 2.87-2.96
Rh1 0.5000 0.5000 0.7687  5 Tc 2.59-2.79, 2 Rh 2.81, 4 Hg 2.85
Tc1 0.0000 0.0000 0.0125  6 Tc 2.67-2.81, 4 Rh 2.79, 2 Hg 2.87-2.96
Tc2 0.5000 0.5000 0.2138  1 Rh 2.59, 6 Tc 2.67-2.81

D(E_F), states/eV/f.u.: 4.416
Energy of formation, meV per atom: 274
M_tot, μB/f.u.: 0.00
SG: Pmm2

No. 3
## Cd2HgPd4 (PBE)

Data for Cd2HgPd4 after structural relaxation.

abc: 5.0509 5.4987 9.4923
angles: 90.00 106.68 90.00
Closest atoms and distances in Å follow each position.
Element x y z (fractional)
Cd1 0.5809 0.7500 0.9954  6 Pd 2.75-2.92, 2 Cd 2.88, 1 Hg 2.89
Cd2 0.4191 0.2500 0.0046  6 Pd 2.75-2.92, 2 Cd 2.88, 1 Hg 2.89
Cd3 0.3106 0.2500 0.4266  7 Pd 2.69-2.96
Cd4 0.6894 0.7500 0.5734  7 Pd 2.69-2.96
Hg1 0.1465 0.7500 0.1797  6 Pd 2.71-2.85, 1 Cd 2.89
Hg2 0.8535 0.2500 0.8203  6 Pd 2.71-2.85, 1 Cd 2.89
Pd1 0.6576 0.5012 0.2755  5 Pd 2.74-2.84, 1 Hg 2.83, 3 Cd 2.86-2.92
Pd2 0.0051 0.7500 0.8680  3 Cd 2.75-2.81, 2 Pd 2.83, 3 Hg 2.84-2.85
Pd3 0.9949 0.2500 0.1320  3 Cd 2.75-2.81, 2 Pd 2.83, 3 Hg 2.84-2.85
Pd4 0.6576 0.9988 0.2755  5 Pd 2.74-2.84, 1 Hg 2.83, 3 Cd 2.86-2.92
Pd5 0.8792 0.2500 0.5390  4 Cd 2.69-2.96, 1 Hg 2.71, 4 Pd 2.79-2.84
Pd6 0.3424 0.0012 0.7245  5 Pd 2.74-2.84, 1 Hg 2.83, 3 Cd 2.86-2.92
Pd7 0.3424 0.4988 0.7245  5 Pd 2.74-2.84, 1 Hg 2.83, 3 Cd 2.86-2.92
Pd8 0.1208 0.7500 0.4610  4 Cd 2.69-2.96, 1 Hg 2.71, 4 Pd 2.79-2.84

E above lowest polymorph, meV per atom: 0
D(E_F), states/eV/f.u.: 1.875
Energy of formation, meV per atom: -187
M_tot, μB/f.u.: 0.00
SG: P2_1/m

No. 4
## PrCuPt4 (PBE)

Data for PrCuPt4 after structural relaxation.

abc: 5.3836 5.3836 5.3836
angles: 60.00 60.00 60.00
Closest atoms and distances in Å follow each position.
Element x y z (fractional)
Pr1 0.2500 0.2500 0.2500  12 Pt 3.16, 4 Cu 3.30
Cu1 0.0000 0.0000 0.0000  12 Pt 3.15, 4 Pr 3.30
Pt1 0.6257 0.6257 0.1228  6 Pt 2.68-2.71
Pt2 0.6257 0.1228 0.6257  6 Pt 2.68-2.71
Pt3 0.6257 0.6257 0.6257  6 Pt 2.68-2.71
Pt4 0.1228 0.6257 0.6257  6 Pt 2.68-2.71

E above lowest polymorph, meV per atom: 0
D(E_F), states/eV/f.u.: 7.268
Energy of formation, meV per atom: -605
M_tot, μB/f.u.: 0.00
SG: F-43m

No. 5
## CoReOs2 (PBE)

Data for CoReOs2 after structural relaxation.

abc: 3.7880 2.6907 5.9982
angles: 63.31 90.00 90.00
Closest atoms and distances in Å follow each position.
Element x y z (fractional)
Co1 0.5000 0.7500 0.7500  8 Os 2.65, 2 Re 2.68, 2 Co 2.69
Os1 0.0000 0.0125 0.9872  4 Os 2.54-2.82, 4 Co 2.65, 4 Re 2.72
Os2 0.0000 0.4875 0.5128  4 Os 2.54-2.82, 4 Co 2.65, 4 Re 2.72
Re1 0.5000 0.2500 0.2500  2 Co 2.68, 2 Re 2.69, 8 Os 2.72

E above lowest polymorph, meV per atom: 26
D(E_F), states/eV/f.u.: 4.156
Energy of formation, meV per atom: 115
M_tot, μB/f.u.: 0.00
SG: Pmmm

No. 6
## KTl2SeBr (PBE)

Data for KTl2SeBr after structural relaxation.

abc: 4.2049 8.2038 10.5369
angles: 84.88 90.00 90.00
Closest atoms and distances in Å follow each position.
Element x y z (fractional)
K1 0.7500 0.2310 0.9979  3 Br 3.24-3.31, 3 Se 3.43-3.52
K2 0.2500 0.7690 0.0021  3 Br 3.24-3.31, 3 Se 3.43-3.52
Tl1 0.2500 0.6684 0.3744  2 Se 3.11, 1 Br 3.12
Tl2 0.2500 0.0981 0.3619  2 Se 3.08, 1 Br 3.10
Tl3 0.7500 0.9019 0.6381  2 Se 3.08, 1 Br 3.10
Tl4 0.7500 0.3316 0.6256  2 Se 3.11, 1 Br 3.12
Se1 0.7500 0.8962 0.2313  4 Tl 3.08-3.11, 2 K 3.43
Se2 0.2500 0.1038 0.7687  4 Tl 3.08-3.11, 2 K 3.43
Br1 0.7500 0.5892 0.8266  2 Tl 3.10-3.12, 3 K 3.24-3.31
Br2 0.2500 0.4108 0.1734  2 Tl 3.10-3.12, 3 K 3.24-3.31

D(E_F), states/eV/f.u.: 0.000
Formation energy (no corrections), kcal/mol of atoms: -19.1
M_tot, μB/f.u.: 0.00
SG: P2_1/m

| no. | V (Å³/cell) |
| --- | --- |
| 1 | 75.2 |
| 2 | 63.8 |
| 3 | 252.5 |
| 4 | 110.3 |
| 5 | 54.6 |
| 6 | 362.0 |